Material: TcBiAu2
Method: DFT, PBE
State: optimized geometry

Summary:
The value obtained for the energy relative to the elements is 49 kJ/mol of atoms. Its calculated volume is 338 Å³ per cell.

Cell: 7.853 7.853 5.475 Å, 90.00 90.00 90.00°
Space group I-42d (No. 122)
Unique sites:
Tc: 0.000 0.000 0.000 (multiplicity 4)
Bi: 0.000 0.000 0.500 (multiplicity 4)
Au: 0.229 0.750 0.125 (multiplicity 8)